Entry from Alexandria: a relaxed structure of La2HgPtN (PBE).

a = 5.8447 Å, b = 4.0858 Å, c = 5.8447 Å
α = 90.00°, β = 90.00°, γ = 90.00°
Fractional positions:
N1 0.0000 0.5000 0.0000
Hg1 0.0000 0.0000 0.0000
Pt1 0.5000 0.5000 0.5000
La1 0.0000 0.0000 0.5000
La2 0.5000 0.0000 0.0000

Computed properties:
Electronic total energy ... -4.31 eV per atom
Space group ... P4/mmm, No. 123

Entry from Alexandria: a relaxed structure of LiHfMg4 (PBE).

a = 3.1462 Å, b = 3.1462 Å, c = 13.0790 Å
α = 90.00°, β = 90.00°, γ = 90.00°
Fractional positions:
Li1 0.0000 0.0000 0.0000
Hf1 0.5000 0.5000 0.5000
Mg1 0.5000 0.5000 0.1567
Mg2 0.0000 0.0000 0.6691
Mg3 0.0000 0.0000 0.3309
Mg4 0.5000 0.5000 0.8433

Computed properties:
Energy of formation from the pure elements ... 24 meV per atom
Space group ... P4/mmm, No. 123

Entry from Alexandria: a relaxed structure of ZrCuSn2 (PBE).

a = 3.2496 Å, b = 3.2496 Å, c = 10.1654 Å
α = 80.80°, β = 80.80°, γ = 60.00°
Fractional positions:
Cu1 0.5000 0.5000 0.5000
Sn1 0.0990 0.0990 0.7031
Sn2 0.9010 0.9010 0.2969
Zr1 0.0000 0.0000 0.0000

Computed properties:
Energy of formation from the pure elements ... 202 meV per atom
Space group ... R-3m, No. 166

Entry from Alexandria: a relaxed structure of Pr2As4Pd3Au (PBE).

a = 4.5004 Å, b = 4.5004 Å, c = 10.0248 Å
α = 90.00°, β = 90.00°, γ = 90.00°
Fractional positions:
Pr1 0.5000 0.0000 0.2437
Pr2 0.0000 0.5000 0.7563
As1 0.5000 0.5000 0.0000
As2 0.0000 0.0000 0.0000
As3 0.5000 0.0000 0.6367
As4 0.0000 0.5000 0.3633
Pd1 0.0000 0.0000 0.5000
Pd2 0.5000 0.0000 0.8822
Pd3 0.0000 0.5000 0.1178
Au1 0.5000 0.5000 0.5000

Computed properties:
Energy of formation from the pure elements ... -793 meV per atom
Space group ... P-4m2, No. 115

Entry from Alexandria: a relaxed structure of Sn2HPd6 (PBE).

a = 5.7471 Å, b = 5.7471 Å, c = 5.7461 Å
α = 60.01°, β = 60.01°, γ = 59.99°
Fractional positions:
Sn1 0.2500 0.2500 0.2498
Sn2 0.7500 0.7500 0.7502
H1 0.5000 0.5000 0.5000
Pd1 0.2485 0.2485 0.7508
Pd2 0.2489 0.7516 0.2484
Pd3 0.7511 0.2484 0.7516
Pd4 0.7516 0.2489 0.2484
Pd5 0.2484 0.7511 0.7516
Pd6 0.7515 0.7515 0.2492

Computed properties:
Distance to the lowest polymorph of the same formula ... 0.000 eV per atom
Space group ... Fm-3m, No. 225

Entry from Alexandria: a relaxed structure of Tm3Ga3Ag (PBE).

a = 4.9174 Å, b = 8.4708 Å, c = 8.4708 Å
α = 120.00°, β = 90.00°, γ = 90.00°
Fractional positions:
Tm1 0.7500 0.6529 0.5622
Tm2 0.7500 0.4378 0.0908
Tm3 0.7500 0.9092 0.3471
Tm4 0.2500 0.3471 0.4378
Tm5 0.2500 0.5622 0.9092
Tm6 0.2500 0.0908 0.6529
Ga1 0.2500 0.8258 0.7850
Ga2 0.2500 0.2150 0.0408
Ga3 0.2500 0.9592 0.1742
Ga4 0.7500 0.1742 0.2150
Ga5 0.7500 0.7850 0.9592
Ga6 0.7500 0.0408 0.8258
Ag1 0.2500 0.6667 0.3333
Ag2 0.7500 0.3333 0.6667

Computed properties:
Energy of formation from the pure elements ... -349 meV per atom
Distance to the lowest polymorph of the same formula ... 0.205 eV per atom
Space group ... P6_3/m, No. 176

Entry from Alexandria: a relaxed structure of La3Tb2Y6Sc (PBE).

a = 6.2200 Å, b = 6.2200 Å, c = 11.8599 Å
α = 95.02°, β = 95.02°, γ = 120.02°
Fractional positions:
La1 0.1667 0.8333 0.5000
La2 0.8333 0.1667 0.5000
La3 0.5000 0.5000 0.5000
Tb1 0.3337 0.6663 0.0000
Tb2 0.6663 0.3337 0.0000
Y1 0.9199 0.5893 0.7576
Y2 0.7496 0.7496 0.2426
Y3 0.0801 0.4107 0.2424
Y4 0.5893 0.9199 0.7576
Y5 0.2504 0.2504 0.7574
Y6 0.4107 0.0801 0.2424
Sc1 0.0000 0.0000 0.0000

Computed properties:
Energy of formation from the pure elements ... 33 meV per atom
Space group ... C2/m, No. 12

Entry from Alexandria: a relaxed structure of Rb2InAgAu (PBE).

a = 6.5308 Å, b = 6.5308 Å, c = 5.2843 Å
α = 90.00°, β = 90.00°, γ = 90.00°
Fractional positions:
Au1 0.0000 0.0000 0.0000
Rb1 0.0000 0.5000 0.0000
Rb2 0.5000 0.0000 0.0000
Ag1 0.5000 0.5000 0.5000
In1 0.0000 0.0000 0.5000

Computed properties:
Energy of formation from the pure elements ... 50 meV per atom
Space group ... P4/mmm, No. 123